Record 1
VASP calculation (PBE-GGA) on crystalline LaDy2GeN4 at its relaxed geometry.

```
LaDy2GeN4
1.0
1.7794 -5.7849 0.0000
1.7794 5.7849 0.0000
0.0000 0.0000 11.6507
La Dy Ge N
2 4 2 8
direct
0.0969 0.9031 0.7500 La
0.9031 0.0969 0.2500 La
0.3694 0.6306 0.5434 Dy
0.3694 0.6306 0.9566 Dy
0.6306 0.3694 0.0434 Dy
0.6306 0.3694 0.4566 Dy
0.1649 0.8351 0.2500 Ge
0.8351 0.1649 0.7500 Ge
0.0000 0.0000 0.0000 N
0.0000 0.0000 0.5000 N
0.2681 0.7319 0.1251 N
0.2681 0.7319 0.3749 N
0.4177 0.5823 0.7500 N
0.5823 0.4177 0.2500 N
0.7319 0.2681 0.6251 N
0.7319 0.2681 0.8749 N
```

Values from the calculation:
Uncorrected formation energy, meV/atom: -1120
N(E_F), states/eV per atom: 0.103
Size of the total moment, μB per formula unit: 0.00

Record 2
VASP calculation (PBE-GGA) on crystalline LaDyNi2Ge2 at its relaxed geometry.

```
LaDyNi2Ge2
1.0
4.2799 0.0000 0.0000
-2.1400 3.7065 0.0000
0.0000 0.0000 7.4328
La Dy Ni Ge
1 1 2 2
direct
0.0000 0.0000 0.0000 La
0.0000 0.0000 0.5000 Dy
0.3333 0.6667 0.7072 Ni
0.6667 0.3333 0.2928 Ni
0.3333 0.6667 0.2750 Ge
0.6667 0.3333 0.7250 Ge
```

Values from the calculation:
N(E_F), states/eV per atom: 0.984
VASP energy, eV/f.u.: -34.8
Size of the total moment, μB per formula unit: 0.00

Record 3
VASP calculation (PBE-GGA) on crystalline La2Dy4Ge3O2 at its relaxed geometry.

```
La2Dy4Ge3O2
1.0
-2.2993 2.2993 12.2099
2.2993 -2.2993 12.2099
2.2993 2.2993 -12.2099
La Dy Ge O
2 4 3 2
direct
0.1973 0.1973 0.0000 La
0.8027 0.8027 0.0000 La
0.0788 0.5788 0.5000 Dy
0.4212 0.9212 0.5000 Dy
0.5788 0.0788 0.5000 Dy
0.9212 0.4212 0.5000 Dy
0.3311 0.3311 0.0000 Ge
0.5000 0.5000 0.0000 Ge
0.6689 0.6689 0.0000 Ge
0.0905 0.0905 0.0000 O
0.9095 0.9095 0.0000 O
```

Values from the calculation:
Uncorrected formation energy, meV/atom: -1607
N(E_F), states/eV per atom: 0.631
Size of the total moment, μB per formula unit: 0.93

Record 4
VASP calculation (PBE-GGA) on crystalline LaDyGeO5 at its relaxed geometry.

```
LaDyGeO5
1.0
3.5465 -4.8176 0.0000
3.5465 4.8176 0.0000
-2.7626 0.0000 7.1222
La Dy Ge O
2 2 2 10
direct
0.1676 0.8324 0.7500 La
0.8324 0.1676 0.2500 La
0.5000 0.5000 0.0000 Dy
0.5000 0.5000 0.5000 Dy
0.1762 0.8238 0.2500 Ge
0.8238 0.1762 0.7500 Ge
0.1041 0.2249 0.9192 O
0.1664 0.5961 0.3693 O
0.2249 0.1041 0.4192 O
0.3946 0.6054 0.7500 O
0.4039 0.8336 0.1307 O
0.5961 0.1664 0.8693 O
0.6054 0.3946 0.2500 O
0.7751 0.8959 0.5808 O
0.8336 0.4039 0.6307 O
0.8959 0.7751 0.0808 O
```

Values from the calculation:
Uncorrected formation energy, meV/atom: -2869
N(E_F), states/eV per atom: 0.000
Size of the total moment, μB per formula unit: 0.02

Record 5
VASP calculation (PBE-GGA) on crystalline La2DyGe3Pd4 at its relaxed geometry.

```
La2DyGe3Pd4
1.0
4.3444 0.0000 0.0000
0.0000 4.3444 0.0000
0.0000 0.0000 11.2261
La Dy Ge Pd
2 1 3 4
direct
0.0000 0.5000 0.2245 La
0.5000 0.0000 0.7755 La
0.0000 0.0000 0.5000 Dy
0.0000 0.5000 0.8797 Ge
0.5000 0.0000 0.1203 Ge
0.5000 0.5000 0.5000 Ge
0.0000 0.0000 0.0000 Pd
0.0000 0.5000 0.6564 Pd
0.5000 0.0000 0.3436 Pd
0.5000 0.5000 0.0000 Pd
```

Values from the calculation:
N(E_F), states/eV per atom: 0.696
VASP energy, eV/f.u.: -57.8
Size of the total moment, μB per formula unit: 0.00

Record 6
VASP calculation (PBE-GGA) on crystalline LaDyGe2Pd5 at its relaxed geometry.

```
LaDyGe2Pd5
1.0
4.3025 0.0000 0.0000
0.0000 4.3025 0.0000
0.0000 0.0000 9.1321
La Dy Ge Pd
1 1 2 5
direct
0.0000 0.0000 0.0000 La
0.0000 0.0000 0.5000 Dy
0.5000 0.5000 0.3664 Ge
0.5000 0.5000 0.6336 Ge
0.0000 0.5000 0.2310 Pd
0.0000 0.5000 0.7690 Pd
0.5000 0.0000 0.2310 Pd
0.5000 0.0000 0.7690 Pd
0.5000 0.5000 0.0000 Pd
```

Values from the calculation:
N(E_F), states/eV per atom: 0.318
VASP energy, eV/f.u.: -51.9
Size of the total moment, μB per formula unit: 0.00

Record 7
VASP calculation (PBE-GGA) on crystalline LaDyGePt at its relaxed geometry.

```
LaDyGePt
1.0
0.0000 3.6357 3.6357
3.6357 0.0000 3.6357
3.6357 3.6357 0.0000
La Dy Ge Pt
1 1 1 1
direct
0.0000 0.0000 0.0000 La
0.5000 0.5000 0.5000 Dy
0.7500 0.7500 0.7500 Ge
0.2500 0.2500 0.2500 Pt
```

Values from the calculation:
N(E_F), states/eV per atom: 0.396
VASP energy, eV/f.u.: -23.7
Size of the total moment, μB per formula unit: 0.00

Record 8
VASP calculation (PBE-GGA) on crystalline LaDyGe2Pt2 at its relaxed geometry.

```
LaDyGe2Pt2
1.0
4.4590 0.0000 0.0000
-2.2295 3.8616 0.0000
0.0000 0.0000 7.4142
La Dy Ge Pt
1 1 2 2
direct
0.0000 0.0000 0.0000 La
0.0000 0.0000 0.5000 Dy
0.3333 0.6667 0.2744 Ge
0.6667 0.3333 0.7256 Ge
0.3333 0.6667 0.7130 Pt
0.6667 0.3333 0.2870 Pt
```

Values from the calculation:
N(E_F), states/eV per atom: 0.768
VASP energy, eV/f.u.: -37.4
Size of the total moment, μB per formula unit: 0.00

Among the records above, which one has the lowest N(E_F)?
LaDyGeO5

What is the formula in the fifth record?
La2DyGe3Pd4